Here is a relaxed TcAgO3 crystal from Alexandria. Energies are from PBE-GGA.

As for the formation energy without anion corrections: -0.87 eV per atom. The uncorrected energy is -32.441 eV per cell. For the density of states at the Fermi level, the calculation gives 1.99 states/eV/cell. For the total moment, the calculation gives 0.00 μB per cell.

It has space group Pm-3m (No. 221), with a = 3.871 Å, b = 3.871 Å, c = 3.871 Å, α = 90.00°, β = 90.00° and γ = 90.00°. Symmetry generates all atoms from Tc at (0.000, 0.000, 0.000), Ag at (0.500, 0.500, 0.500) and O at (0.000, 0.000, 0.500).